# Ba2ZnSn

Ba2ZnSn after structural relaxation (PBE, Alexandria via LeMat-Bulk).

abc: 4.9154 7.0928 9.7230
angles: 114.01 90.00 90.00
Last column: nearest neighbours and their distance in Å.
Fractional positions:
1 Ba 0.2500 0.2929 0.5819  3 Zn 3.52-3.65, 4 Sn 3.60-3.81
2 Ba 0.7500 0.7071 0.4181  3 Zn 3.52-3.65, 4 Sn 3.60-3.81
3 Ba 0.7500 0.2169 0.9383  3 Zn 3.53-3.61, 3 Sn 3.58-3.62
4 Ba 0.2500 0.7831 0.0617  3 Zn 3.53-3.61, 3 Sn 3.58-3.62
5 Zn 0.7500 0.6591 0.7783  2 Sn 3.01
6 Zn 0.2500 0.3409 0.2217  2 Sn 3.01
7 Sn 0.7500 0.1449 0.2863  2 Zn 3.01
8 Sn 0.2500 0.8551 0.7137  2 Zn 3.01

Properties
For the density, the calculation gives 4.92 g/cm3. Its total energy is -2.72 eV per atom.



# TiVN2

TiVN2 after structural relaxation (PBE, Alexandria via LeMat-Bulk).

abc: 2.9679 2.9679 5.1076
angles: 73.06 73.06 60.00
Last column: nearest neighbours and their distance in Å.
Fractional positions:
1 N 0.2512 0.2512 0.2473  3 V 2.08-2.09, 3 Ti 2.10
2 N 0.7488 0.7488 0.7527  3 V 2.08-2.09, 3 Ti 2.10
3 Ti 0.5000 0.5000 0.5000  6 N 2.10
4 V 0.0000 0.0000 0.0000  6 N 2.08-2.09

Properties
For the density, the calculation gives 5.74 g/cm3. The calculation puts the uncorrected formation energy at -1.347 eV per atom. Its total energy is -9.76 eV per atom.



# Sb4Ru3

Sb4Ru3 after structural relaxation (PBE, Alexandria via LeMat-Bulk).

abc: 5.3216 5.3216 5.9395
angles: 90.00 90.00 120.00
Last column: nearest neighbours and their distance in Å.
Fractional positions:
1 Sb 0.0000 0.0000 0.2385  2 Sb 2.83-3.11, 6 Ru 3.01
2 Sb 0.0000 0.0000 0.7615  2 Sb 2.83-3.11, 6 Ru 3.01
3 Sb 0.6667 0.3333 0.5000  3 Sb 3.07, 6 Ru 3.34
4 Sb 0.3333 0.6667 0.5000  3 Sb 3.07, 6 Ru 3.34
5 Ru 0.0000 0.5000 0.0000  4 Ru 2.66
6 Ru 0.5000 0.5000 0.0000  4 Ru 2.66
7 Ru 0.5000 0.0000 0.0000  4 Ru 2.66

Properties
The energy above the lowest structure with this stoichiometry is 2.761 eV/f.u. For the density, the calculation gives 9.01 g/cm3. The calculation puts the uncorrected formation energy at 0.555 eV per atom. Its total energy is -5.78 eV per atom.



# ErTm5Ag6

ErTm5Ag6 after structural relaxation (PBE, Alexandria via LeMat-Bulk).

abc: 5.1087 7.1065 8.0641
angles: 90.00 71.54 90.00
Last column: nearest neighbours and their distance in Å.
Fractional positions:
1 Tm 0.6668 0.0000 0.6664  8 Ag 3.10-3.11
2 Tm 0.3332 0.0000 0.3336  8 Ag 3.10-3.11
3 Tm 0.3336 0.5000 0.3328  8 Ag 3.10-3.11
4 Tm 0.0000 0.5000 0.0000  8 Ag 3.11
5 Tm 0.6664 0.5000 0.6672  8 Ag 3.10-3.11
6 Ag 0.1672 0.7492 0.6656  7 Tm 3.10-3.11, 1 Er 3.12
7 Ag 0.1672 0.2508 0.6656  7 Tm 3.10-3.11, 1 Er 3.12
8 Ag 0.8328 0.2508 0.3344  7 Tm 3.10-3.11, 1 Er 3.12
9 Ag 0.5000 0.7492 0.0000  6 Tm 3.10-3.11, 2 Er 3.11
10 Ag 0.8328 0.7492 0.3344  7 Tm 3.10-3.11, 1 Er 3.12
11 Ag 0.5000 0.2508 0.0000  6 Tm 3.10-3.11, 2 Er 3.11
12 Er 0.0000 0.0000 0.0000  8 Ag 3.11-3.12

Properties
For the density, the calculation gives 9.92 g/cm3. Its total energy is -4.01 eV per atom.



# SrAlTe2

SrAlTe2 after structural relaxation (PBE, Alexandria via LeMat-Bulk).

abc: 3.9486 4.2745 7.7123
angles: 76.65 90.00 90.00
Last column: nearest neighbours and their distance in Å.
Fractional positions:
1 Te 0.0000 0.1565 0.0075  2 Al 2.81
2 Te 0.0000 0.3435 0.4925  2 Al 2.81
3 Al 0.5000 0.2500 0.2500  4 Te 2.81
4 Sr 0.5000 0.7500 0.7500  8 Te 3.46-3.53

Properties
For the density, the calculation gives 4.85 g/cm3. The calculation puts the uncorrected formation energy at -0.714 eV per atom. Its total energy is -3.64 eV per atom.



# Yb4Sc4Sb4O

Yb4Sc4Sb4O after structural relaxation (PBE, Alexandria via LeMat-Bulk).

abc: 4.4527 4.4527 16.1576
angles: 90.00 90.00 90.00
Last column: nearest neighbours and their distance in Å.
Fractional positions:
1 Yb 0.5000 0.5000 0.6680  5 Sb 3.21-3.22, 4 Sc 3.51
2 Yb 0.0000 0.0000 0.8297  1 O 2.75
3 Yb 0.5000 0.5000 0.3320  5 Sb 3.21-3.22, 4 Sc 3.51
4 Yb 0.0000 0.0000 0.1703  1 O 2.75
5 Sc 0.0000 0.5000 0.5000  4 Sb 3.07, 4 Sc 3.15
6 Sc 0.5000 0.0000 0.5000  4 Sb 3.07, 4 Sc 3.15
7 Sc 0.0000 0.5000 0.0000  2 O 2.23
8 Sc 0.5000 0.0000 0.0000  2 O 2.23
9 O 0.0000 0.0000 0.0000  4 Sc 2.23
10 Sb 0.5000 0.5000 0.8673  4 Sc 3.09, 5 Yb 3.21-3.22
11 Sb 0.0000 0.0000 0.3691  4 Sc 3.07, 5 Yb 3.21
12 Sb 0.5000 0.5000 0.1327  4 Sc 3.09, 5 Yb 3.21-3.22
13 Sb 0.0000 0.0000 0.6309  4 Sc 3.07, 5 Yb 3.21

Properties
For the density, the calculation gives 7.13 g/cm3. The calculation puts the uncorrected formation energy at -1.230 eV per atom. Its total energy is -5.30 eV per atom.



# TcHg2Pd

TcHg2Pd after structural relaxation (PBE, Alexandria via LeMat-Bulk).

abc: 4.0397 4.0397 10.3617
angles: 78.76 78.76 90.00
Last column: nearest neighbours and their distance in Å.
Fractional positions:
1 Pd 0.0000 0.0000 0.0000  4 Tc 2.86, 4 Hg 2.87
2 Pd 0.7500 0.2500 0.5000  4 Tc 2.86, 4 Hg 2.87
3 Tc 0.5000 0.5000 0.0000  4 Pd 2.86, 4 Hg 2.87
4 Tc 0.2500 0.7500 0.5000  4 Pd 2.86, 4 Hg 2.87
5 Hg 0.6268 0.1250 0.2500  4 Hg 2.85-2.87, 2 Pd 2.87, 2 Tc 2.87
6 Hg 0.8750 0.8768 0.7500  4 Hg 2.85-2.87, 2 Pd 2.87, 2 Tc 2.87
7 Hg 0.3750 0.3732 0.7500  4 Hg 2.85-2.87, 2 Pd 2.87, 2 Tc 2.87
8 Hg 0.1232 0.6250 0.2500  4 Hg 2.85-2.87, 2 Pd 2.87, 2 Tc 2.87

Properties
The energy above the lowest structure with this stoichiometry is 1.117 eV/f.u. For the density, the calculation gives 12.37 g/cm3. Its total energy is -3.35 eV per atom.



# ScB3Au

ScB3Au after structural relaxation (PBE, Alexandria via LeMat-Bulk).

abc: 4.3368 4.3368 4.3368
angles: 90.00 90.00 90.00
Last column: nearest neighbours and their distance in Å.
Fractional positions:
1 B 0.5000 0.0000 0.0000  2 Sc 2.17
2 B 0.0000 0.0000 0.5000  2 Sc 2.17
3 B 0.0000 0.5000 0.0000  2 Sc 2.17
4 Au 0.5000 0.5000 0.5000  12 B 3.07
5 Sc 0.0000 0.0000 0.0000  6 B 2.17

Properties
The energy above the lowest structure with this stoichiometry is 3.795 eV/f.u. For the density, the calculation gives 5.59 g/cm3. Its total energy is -3.84 eV per atom.